(1)
Computed, not measured: Ac2CdNi12P3 after structural relaxation at the PBE level of DFT.

Lattice parameters (Å, degrees): 7.407 7.407 7.407 62.72 62.72 62.72
Positions (direct):
Ac (0.110, 0.110, 0.110)
Ac (0.890, 0.890, 0.890)
Cd (0.500, 0.500, 0.500)
Ni (0.103, 0.627, 0.627)
Ni (0.167, 0.167, 0.599)
Ni (0.167, 0.599, 0.167)
Ni (0.373, 0.373, 0.897)
Ni (0.373, 0.897, 0.373)
Ni (0.401, 0.833, 0.833)
Ni (0.599, 0.167, 0.167)
Ni (0.627, 0.103, 0.627)
Ni (0.627, 0.627, 0.103)
Ni (0.833, 0.401, 0.833)
Ni (0.833, 0.833, 0.401)
Ni (0.897, 0.373, 0.373)
P (0.000, 0.500, 0.500)
P (0.500, 0.000, 0.500)
P (0.500, 0.500, 0.000)

Computed properties:
The value obtained for the formation energy is -24 meV per atom. For the magnetization, the calculation gives 0.00 μB per atom. The energy comes out at -95.2 eV for the cell shown. Its symmetry is R-3m.

***

(2)
Computed, not measured: TaW2S6 after structural relaxation at the PBE level of DFT.

Lattice parameters (Å, degrees): 7.255 7.255 10.470 124.09 124.09 26.26
Positions (direct):
Ta (0.000, 0.000, 0.000)
W (0.312, 0.312, 0.632)
W (0.688, 0.688, 0.368)
S (0.026, 0.026, 0.254)
S (0.331, 0.331, 0.418)
S (0.345, 0.345, 0.904)
S (0.655, 0.655, 0.096)
S (0.669, 0.669, 0.582)
S (0.974, 0.974, 0.746)

Computed properties:
For the magnetization, the calculation gives 0.00 μB per atom. The energy comes out at -69.4 eV for the cell shown. Its symmetry is C2/m. Its uncorrected formation energy is -766 meV/atom.

***

(3)
Computed, not measured: TeSe after structural relaxation at the PBE level of DFT.

Lattice parameters (Å, degrees): 6.004 6.004 7.804 125.12 125.12 37.66
Positions (direct):
Te (0.191, 0.191, 0.308)
Te (0.809, 0.809, 0.692)
Se (0.220, 0.220, 0.833)
Se (0.780, 0.780, 0.167)

Computed properties:
For the magnetization, the calculation gives 0.00 μB per atom. The energy comes out at -12.8 eV for the cell shown. Its symmetry is C2/m. Its uncorrected formation energy is 107 meV/atom.

***

(4)
Computed, not measured: MoH3Pt after structural relaxation at the PBE level of DFT.

Lattice parameters (Å, degrees): 3.481 3.481 3.481 90.00 90.00 90.00
Positions (direct):
Mo (0.000, 0.000, 0.000)
H (0.000, 0.500, 0.500)
H (0.500, 0.000, 0.500)
H (0.500, 0.500, 0.000)
Pt (0.500, 0.500, 0.500)

Computed properties:
For the magnetization, the calculation gives 0.00 μB per atom. The energy comes out at -25.0 eV for the cell shown. As for the excess energy over the best structure of this formula in the dataset: 0.000 eV/atom. Its symmetry is Pm-3m.

***

(5)
Computed, not measured: Pm2PrSmTh after structural relaxation at the PBE level of DFT.

Lattice parameters (Å, degrees): 8.646 6.553 6.461 90.00 99.33 90.00
Positions (direct):
Pm (0.186, 0.182, 0.306)
Pm (0.186, 0.818, 0.806)
Pm (0.814, 0.182, 0.194)
Pm (0.814, 0.818, 0.694)
Pr (0.500, 0.500, 0.000)
Pr (0.500, 0.500, 0.500)
Sm (0.000, 0.333, 0.750)
Sm (0.000, 0.667, 0.250)
Th (0.500, 0.049, 0.750)
Th (0.500, 0.951, 0.250)

Computed properties:
The value obtained for the formation energy is 299 meV per atom. For the magnetization, the calculation gives 0.00 μB per atom. The energy comes out at -49.8 eV for the cell shown. Its symmetry is P2/c.

***

(6)
Computed, not measured: BaInOs after structural relaxation at the PBE level of DFT.

Lattice parameters (Å, degrees): 4.616 4.616 4.846 90.00 90.00 120.00
Positions (direct):
Ba (0.000, 0.000, 0.000)
In (0.333, 0.667, 0.500)
Os (0.667, 0.333, 0.500)

Computed properties:
The value obtained for the formation energy is 463 meV per atom. For the magnetization, the calculation gives 0.00 μB per atom. The energy comes out at -14.5 eV for the cell shown. Its symmetry is P-6m2.

***

(7)
Computed, not measured: NdSmTh2 after structural relaxation at the PBE level of DFT.

Lattice parameters (Å, degrees): 12.005 12.005 12.005 17.27 17.27 17.27
Positions (direct):
Nd (0.000, 0.000, 0.000)
Sm (0.170, 0.170, 0.170)
Th (0.419, 0.419, 0.419)
Th (0.585, 0.585, 0.585)

Computed properties:
The value obtained for the formation energy is 59 meV per atom. For the magnetization, the calculation gives 0.00 μB per atom. The energy comes out at -24.1 eV for the cell shown. As for the excess energy over the best structure of this formula in the dataset: 0.029 eV/atom. Its symmetry is R3m.

***

(8)
Computed, not measured: PS after structural relaxation at the PBE level of DFT.

Lattice parameters (Å, degrees): 8.997 8.997 3.133 90.00 90.00 90.00
Positions (direct):
P (0.167, 0.167, 0.000)
P (0.333, 0.667, 0.500)
P (0.667, 0.333, 0.500)
P (0.833, 0.833, 0.000)
S (0.223, 0.777, 0.000)
S (0.277, 0.277, 0.500)
S (0.723, 0.723, 0.500)
S (0.777, 0.223, 0.000)

Computed properties:
For the magnetization, the calculation gives 0.00 μB per atom. The energy comes out at -36.0 eV for the cell shown. As for the excess energy over the best structure of this formula in the dataset: 0.407 eV/atom. Its symmetry is P4_2/mnm. Its uncorrected formation energy is 269 meV/atom.

***

(9)
Computed, not measured: PmErTm2 after structural relaxation at the PBE level of DFT.

Lattice parameters (Å, degrees): 5.001 5.001 4.983 90.00 90.00 90.00
Positions (direct):
Pm (0.000, 0.000, 0.000)
Er (0.500, 0.500, 0.000)
Tm (0.000, 0.500, 0.500)
Tm (0.500, 0.000, 0.500)

Computed properties:
The value obtained for the formation energy is 26 meV per atom. For the magnetization, the calculation gives 0.00 μB per atom. The energy comes out at -18.2 eV for the cell shown. As for the excess energy over the best structure of this formula in the dataset: 0.014 eV/atom. Its symmetry is P4/mmm.

***

(10)
Computed, not measured: ErTmNiAu after structural relaxation at the PBE level of DFT.

Lattice parameters (Å, degrees): 4.473 5.520 5.520 39.08 90.00 90.00
Positions (direct):
Er (0.000, 0.000, 0.000)
Tm (0.500, 0.281, 0.281)
Ni (0.500, 0.556, 0.556)
Au (0.000, 0.719, 0.719)

Computed properties:
The value obtained for the formation energy is -672 meV per atom. For the magnetization, the calculation gives 0.00 μB per atom. The energy comes out at -20.8 eV for the cell shown. As for the excess energy over the best structure of this formula in the dataset: 0.000 eV/atom. Its symmetry is Amm2.

***

(11)
Computed, not measured: Na3TlAu after structural relaxation at the PBE level of DFT.

Lattice parameters (Å, degrees): 7.578 7.578 5.313 90.00 90.00 105.10
Positions (direct):
Na (0.071, 0.929, 0.500)
Na (0.149, 0.480, 0.506)
Na (0.480, 0.149, 0.006)
Na (0.520, 0.851, 0.506)
Na (0.851, 0.520, 0.006)
Na (0.929, 0.071, 0.000)
Tl (0.429, 0.571, 0.006)
Tl (0.571, 0.429, 0.506)
Au (0.193, 0.807, 0.000)
Au (0.807, 0.193, 0.500)

Computed properties:
The value obtained for the formation energy is -165 meV per atom. For the magnetization, the calculation gives 0.00 μB per atom. The energy comes out at -20.9 eV for the cell shown. As for the excess energy over the best structure of this formula in the dataset: 0.000 eV/atom. Its symmetry is Cmc2_1.

***

(12)
Computed, not measured: Pu6Ga2Os after structural relaxation at the PBE level of DFT.

Lattice parameters (Å, degrees): 8.866 8.887 4.515 90.00 90.00 90.00
Positions (direct):
Pu (0.109, 0.153, 0.000)
Pu (0.112, 0.682, 0.500)
Pu (0.138, 0.538, 0.000)
Pu (0.362, 0.038, 0.500)
Pu (0.388, 0.182, 0.000)
Pu (0.391, 0.653, 0.500)
Pu (0.609, 0.347, 0.500)
Pu (0.612, 0.818, 0.000)
Pu (0.638, 0.962, 0.500)
Pu (0.862, 0.462, 0.000)
Pu (0.888, 0.318, 0.500)
Pu (0.891, 0.847, 0.000)
Ga (0.244, 0.349, 0.500)
Ga (0.256, 0.849, 0.000)
Ga (0.744, 0.151, 0.000)
Ga (0.756, 0.651, 0.500)
Os (0.000, 0.000, 0.500)
Os (0.500, 0.500, 0.000)

Computed properties:
The value obtained for the formation energy is -100 meV per atom. For the magnetization, the calculation gives 0.92 μB per atom. The energy comes out at -208.3 eV for the cell shown. Its symmetry is Pnnm.

***

(13)
Computed, not measured: La3Hg2Ir after structural relaxation at the PBE level of DFT.

Lattice parameters (Å, degrees): 7.298 7.298 8.000 97.50 97.50 115.25
Positions (direct):
La (0.052, 0.416, 0.773)
La (0.191, 0.191, 0.190)
La (0.416, 0.052, 0.773)
La (0.584, 0.948, 0.227)
La (0.809, 0.809, 0.810)
La (0.948, 0.584, 0.227)
Hg (0.000, 0.000, 0.500)
Hg (0.372, 0.628, 0.500)
Hg (0.500, 0.500, 0.000)
Hg (0.628, 0.372, 0.500)
Ir (0.177, 0.823, 0.000)
Ir (0.823, 0.177, 0.000)

Computed properties:
The value obtained for the formation energy is -566 meV per atom. For the magnetization, the calculation gives 0.00 μB per atom. The energy comes out at -55.3 eV for the cell shown. As for the excess energy over the best structure of this formula in the dataset: 0.000 eV/atom. Its symmetry is C2/m.

***

(14)
Computed, not measured: Sr3Hg9Pb2 after structural relaxation at the PBE level of DFT.

Lattice parameters (Å, degrees): 9.558 9.558 9.558 149.04 113.07 75.56
Positions (direct):
Sr (0.000, 0.000, 0.000)
Sr (0.290, 0.290, 0.000)
Sr (0.710, 0.710, 0.000)
Hg (0.025, 0.661, 0.363)
Hg (0.141, 0.857, 0.284)
Hg (0.298, 0.661, 0.637)
Hg (0.427, 0.143, 0.284)
Hg (0.500, 0.000, 0.500)
Hg (0.573, 0.857, 0.716)
Hg (0.702, 0.339, 0.363)
Hg (0.859, 0.143, 0.716)
Hg (0.975, 0.339, 0.637)
Pb (0.318, 0.500, 0.818)
Pb (0.682, 0.500, 0.182)

Computed properties:
The value obtained for the formation energy is -318 meV per atom. For the magnetization, the calculation gives 0.00 μB per atom. The energy comes out at -19.6 eV for the cell shown. Its symmetry is Immm.

***

(15)
Computed, not measured: Tb14NdMg after structural relaxation at the PBE level of DFT.

Lattice parameters (Å, degrees): 10.054 7.087 7.087 90.00 90.00 90.00
Positions (direct):
Tb (0.000, 0.000, 0.000)
Tb (0.000, 0.000, 0.500)
Tb (0.000, 0.500, 0.000)
Tb (0.000, 0.500, 0.500)
Tb (0.250, 0.250, 0.250)
Tb (0.250, 0.250, 0.750)
Tb (0.250, 0.750, 0.250)
Tb (0.250, 0.750, 0.750)
Tb (0.500, 0.000, 0.500)
Tb (0.500, 0.500, 0.000)
Tb (0.750, 0.250, 0.250)
Tb (0.750, 0.250, 0.750)
Tb (0.750, 0.750, 0.250)
Tb (0.750, 0.750, 0.750)
Nd (0.500, 0.000, 0.000)
Mg (0.500, 0.501, 0.501)

Computed properties:
The value obtained for the formation energy is 16 meV per atom. For the magnetization, the calculation gives 0.00 μB per atom. The energy comes out at -70.9 eV for the cell shown. Its symmetry is Amm2.

***

(16)
Computed, not measured: ErZn2Ni after structural relaxation at the PBE level of DFT.

Lattice parameters (Å, degrees): 4.541 4.541 4.541 60.00 60.00 60.00
Positions (direct):
Er (0.000, 0.000, 0.000)
Zn (0.250, 0.250, 0.250)
Zn (0.750, 0.750, 0.750)
Ni (0.500, 0.500, 0.500)

Computed properties:
The value obtained for the formation energy is -221 meV per atom. For the magnetization, the calculation gives 0.00 μB per atom. The energy comes out at -13.8 eV for the cell shown. Its symmetry is Fm-3m.

***

(17)
Computed, not measured: LiCaAc4 after structural relaxation at the PBE level of DFT.

Lattice parameters (Å, degrees): 7.384 7.384 7.384 60.00 60.00 60.00
Positions (direct):
Li (0.000, 0.000, 0.000)
Ca (0.250, 0.250, 0.250)
Ac (0.126, 0.625, 0.625)
Ac (0.625, 0.126, 0.625)
Ac (0.625, 0.625, 0.126)
Ac (0.625, 0.625, 0.625)

Computed properties:
The value obtained for the formation energy is 352 meV per atom. For the magnetization, the calculation gives 0.00 μB per atom. The energy comes out at -18.2 eV for the cell shown. Its symmetry is F-43m.

***

(18)
Computed, not measured: Ca4TbY3Se8 after structural relaxation at the PBE level of DFT.

Lattice parameters (Å, degrees): 8.334 8.334 8.334 59.11 59.11 59.11
Positions (direct):
Ca (0.000, 0.000, 0.000)
Ca (0.000, 0.500, 0.500)
Ca (0.500, 0.000, 0.500)
Ca (0.500, 0.500, 0.000)
Tb (0.500, 0.500, 0.500)
Y (0.000, 0.000, 0.500)
Y (0.000, 0.500, 0.000)
Y (0.500, 0.000, 0.000)
Se (0.249, 0.249, 0.249)
Se (0.249, 0.749, 0.749)
Se (0.251, 0.251, 0.751)
Se (0.251, 0.751, 0.251)
Se (0.749, 0.249, 0.749)
Se (0.749, 0.749, 0.249)
Se (0.751, 0.251, 0.251)
Se (0.751, 0.751, 0.751)

Computed properties:
For the magnetization, the calculation gives 0.00 μB per atom. The energy comes out at -90.1 eV for the cell shown. Its symmetry is R-3m. Its uncorrected formation energy is -1885 meV/atom.

***

(19)
Computed, not measured: TcIrSe2F after structural relaxation at the PBE level of DFT.

Lattice parameters (Å, degrees): 4.742 4.742 4.944 90.00 90.00 90.00
Positions (direct):
Tc (0.000, 0.000, 0.000)
Ir (0.000, 0.000, 0.500)
Se (0.000, 0.500, 0.000)
Se (0.500, 0.000, 0.000)
F (0.500, 0.500, 0.500)

Computed properties:
For the magnetization, the calculation gives 0.36 μB per atom. The energy comes out at -24.4 eV for the cell shown. Its symmetry is P4/mmm. Its uncorrected formation energy is 742 meV/atom.

***

(20)
Computed, not measured: Pm2TmHfN4 after structural relaxation at the PBE level of DFT.

Lattice parameters (Å, degrees): 5.937 3.423 6.011 90.00 109.03 90.00
Positions (direct):
Pm (0.000, 0.000, 0.000)
Pm (0.500, 0.500, 0.000)
Tm (0.000, 0.500, 0.500)
Hf (0.500, 0.000, 0.500)
N (0.254, 0.000, 0.725)
N (0.270, 0.500, 0.280)
N (0.730, 0.500, 0.720)
N (0.746, 0.000, 0.275)

Computed properties:
For the magnetization, the calculation gives 0.00 μB per atom. The energy comes out at -70.4 eV for the cell shown. Its symmetry is P2/m. Its uncorrected formation energy is -1644 meV/atom.